(1)
The following is a PBE-GGA calculation of an optimized crystal structure of V2CuPt4, from Alexandria via LeMat-Bulk.

Values from the calculation:
size of the total moment = 0.000 μB per atom
Fermi-level density of states = 12.89 states/eV/cell
energy relative to the elements = -0.22 eV/atom
E = -96.0 eV for the cell shown

a b c (Å): 6.405 5.137 7.179
angles (deg): 90.00 116.66 90.00
Fractional positions:
Pt1 0.404 0.998 0.775
Pt2 0.404 0.502 0.775
Pt3 0.596 0.498 0.225
Pt4 0.596 0.002 0.225
Pt5 0.979 0.250 0.202
Pt6 0.959 0.250 0.582
Pt7 0.021 0.750 0.798
Pt8 0.041 0.750 0.418
V1 0.204 0.250 0.985
V2 0.396 0.250 0.451
V3 0.796 0.750 0.015
V4 0.604 0.750 0.549
Cu1 0.236 0.750 0.189
Cu2 0.764 0.250 0.811



(2)
The following is a PBE-GGA calculation of an optimized crystal structure of VCu2Pt2, from Alexandria via LeMat-Bulk.

Values from the calculation:
size of the total moment = 0.000 μB per atom
Fermi-level density of states = 2.88 states/eV/cell
energy relative to the elements = -0.26 eV/atom
E = -30.7 eV for the cell shown

a b c (Å): 2.729 2.745 9.606
angles (deg): 81.78 90.00 90.00
Fractional positions:
Pt1 0.500 0.596 0.808
Pt2 0.500 0.404 0.192
Cu1 0.000 0.196 0.607
Cu2 0.000 0.804 0.393
V1 0.000 0.000 0.000



(3)
The following is a PBE-GGA calculation of an optimized crystal structure of VCuPt2, from Alexandria via LeMat-Bulk.

Values from the calculation:
size of the total moment = 0.310 μB per atom
Fermi-level density of states = 8.97 states/eV/cell
energy relative to the elements = 0.07 eV/atom
E = -50.0 eV for the cell shown

a b c (Å): 6.842 6.842 5.543
angles (deg): 51.89 51.89 90.00
Fractional positions:
Cu1 0.000 0.000 0.000
Cu2 0.750 0.250 0.500
Pt1 0.612 0.125 0.250
Pt2 0.375 0.388 0.750
Pt3 0.138 0.625 0.250
Pt4 0.875 0.862 0.750
V1 0.250 0.750 0.500
V2 0.500 0.500 0.000



(4)
The following is a PBE-GGA calculation of an optimized crystal structure of VCu2Pt5, from Alexandria via LeMat-Bulk.

Values from the calculation:
size of the total moment = 0.102 μB per atom
Fermi-level density of states = 12.48 states/eV/cell
energy relative to the elements = -0.26 eV/atom
E = -99.2 eV for the cell shown

a b c (Å): 3.907 5.460 10.927
angles (deg): 90.00 90.00 90.00
Fractional positions:
Pt1 0.000 0.976 0.739
Pt2 0.500 0.731 0.885
Pt3 0.000 0.000 0.000
Pt4 0.500 0.269 0.115
Pt5 0.500 0.769 0.385
Pt6 0.000 0.500 0.500
Pt7 0.000 0.024 0.261
Pt8 0.500 0.231 0.615
Pt9 0.000 0.524 0.239
Pt10 0.000 0.476 0.761
Cu1 0.500 0.270 0.371
Cu2 0.500 0.730 0.629
Cu3 0.500 0.770 0.129
Cu4 0.500 0.230 0.871
V1 0.000 0.000 0.500
V2 0.000 0.500 0.000



(5)
The following is a PBE-GGA calculation of an optimized crystal structure of V3CuPt, from Alexandria via LeMat-Bulk.

Values from the calculation:
size of the total moment = 0.816 μB per atom
Fermi-level density of states = 8.64 states/eV/cell
energy relative to the elements = 1.02 eV/atom
E = -32.4 eV for the cell shown

a b c (Å): 4.363 4.363 4.363
angles (deg): 90.00 90.00 90.00
Fractional positions:
V1 0.500 0.000 0.000
V2 0.000 0.500 0.000
V3 0.000 0.000 0.500
Pt1 0.500 0.500 0.500
Cu1 0.000 0.000 0.000



(6)
The following is a PBE-GGA calculation of an optimized crystal structure of VCuPt3, from Alexandria via LeMat-Bulk.

Values from the calculation:
size of the total moment = 0.501 μB per atom
Fermi-level density of states = 8.39 states/eV/cell
energy relative to the elements = 0.91 eV/atom
E = -26.8 eV for the cell shown

a b c (Å): 4.541 4.541 4.541
angles (deg): 90.00 90.00 90.00
Fractional positions:
Pt1 0.000 0.000 0.500
Pt2 0.500 0.000 0.000
Pt3 0.000 0.500 0.000
Cu1 0.000 0.000 0.000
V1 0.500 0.500 0.500



(7)
The following is a PBE-GGA calculation of an optimized crystal structure of VCu3Pt4, from Alexandria via LeMat-Bulk.

Values from the calculation:
size of the total moment = 0.000 μB per atom
Fermi-level density of states = 12.11 states/eV/cell
energy relative to the elements = -0.28 eV/atom
E = -95.7 eV for the cell shown

a b c (Å): 4.567 5.572 8.807
angles (deg): 90.00 90.00 90.00
Fractional positions:
Pt1 0.500 0.749 0.500
Pt2 0.500 0.251 0.500
Pt3 0.121 0.248 0.750
Pt4 0.879 0.752 0.250
Pt5 0.121 0.752 0.750
Pt6 0.500 0.251 0.000
Pt7 0.500 0.749 0.000
Pt8 0.879 0.248 0.250
Cu1 0.373 0.000 0.250
Cu2 0.000 0.000 0.500
Cu3 0.630 0.500 0.750
Cu4 0.000 0.000 0.000
Cu5 0.627 0.000 0.750
Cu6 0.370 0.500 0.250
V1 0.000 0.500 0.000
V2 0.000 0.500 0.500



(8)
The following is a PBE-GGA calculation of an optimized crystal structure of VCuPt3, from Alexandria via LeMat-Bulk.

Values from the calculation:
size of the total moment = 0.218 μB per atom
Fermi-level density of states = 16.67 states/eV/cell
energy relative to the elements = -0.13 eV/atom
E = -127.9 eV for the cell shown

a b c (Å): 6.254 6.913 7.093
angles (deg): 90.00 90.00 90.00
Fractional positions:
Pt1 0.360 0.347 0.060
Pt2 0.884 0.776 0.250
Pt3 0.860 0.153 0.060
Pt4 0.360 0.347 0.440
Pt5 0.640 0.653 0.560
Pt6 0.616 0.276 0.750
Pt7 0.140 0.847 0.940
Pt8 0.640 0.653 0.940
Pt9 0.140 0.847 0.560
Pt10 0.860 0.153 0.440
Pt11 0.116 0.224 0.750
Pt12 0.384 0.724 0.250
Cu1 0.300 0.561 0.750
Cu2 0.700 0.439 0.250
Cu3 0.200 0.061 0.250
Cu4 0.800 0.939 0.750
V1 0.000 0.500 0.000
V2 0.000 0.500 0.500
V3 0.500 0.000 0.500
V4 0.500 0.000 0.000



(9)
The following is a PBE-GGA calculation of an optimized crystal structure of VCu4Pt5, from Alexandria via LeMat-Bulk.

Values from the calculation:
size of the total moment = 0.000 μB per atom
Fermi-level density of states = 7.75 states/eV/cell
energy relative to the elements = -0.27 eV/atom
E = -58.4 eV for the cell shown

a b c (Å): 2.768 2.768 18.279
angles (deg): 90.00 90.00 90.00
Fractional positions:
Pt1 0.500 0.500 0.099
Pt2 0.500 0.500 0.500
Pt3 0.500 0.500 0.699
Pt4 0.500 0.500 0.301
Pt5 0.500 0.500 0.901
V1 0.000 0.000 0.000
Cu1 0.000 0.000 0.401
Cu2 0.000 0.000 0.203
Cu3 0.000 0.000 0.599
Cu4 0.000 0.000 0.797



(10)
The following is a PBE-GGA calculation of an optimized crystal structure of V2CuPt3, from Alexandria via LeMat-Bulk.

Values from the calculation:
size of the total moment = 0.000 μB per atom
Fermi-level density of states = 4.24 states/eV/cell
energy relative to the elements = -0.48 eV/atom
E = -43.3 eV for the cell shown

a b c (Å): 2.743 2.743 11.318
angles (deg): 90.00 90.00 90.00
Fractional positions:
V1 0.500 0.500 0.829
V2 0.500 0.500 0.171
Pt1 0.000 0.000 0.000
Pt2 0.000 0.000 0.332
Pt3 0.000 0.000 0.668
Cu1 0.500 0.500 0.500



(11)
The following is a PBE-GGA calculation of an optimized crystal structure of VCu2Pt2, from Alexandria via LeMat-Bulk.

Values from the calculation:
size of the total moment = 0.333 μB per atom
Fermi-level density of states = 9.60 states/eV/cell
energy relative to the elements = 0.02 eV/atom
E = -58.6 eV for the cell shown

a b c (Å): 7.159 7.159 2.864
angles (deg): 90.00 90.00 90.00
Fractional positions:
V1 0.000 0.000 0.000
V2 0.500 0.500 0.000
Cu1 0.158 0.658 0.500
Cu2 0.658 0.842 0.500
Cu3 0.842 0.342 0.500
Cu4 0.342 0.158 0.500
Pt1 0.359 0.859 0.000
Pt2 0.859 0.641 0.000
Pt3 0.641 0.141 0.000
Pt4 0.141 0.359 0.000



(12)
The following is a PBE-GGA calculation of an optimized crystal structure of VCuPt3, from Alexandria via LeMat-Bulk.

Values from the calculation:
size of the total moment = 0.147 μB per atom
Fermi-level density of states = 9.44 states/eV/cell
energy relative to the elements = -0.11 eV/atom
E = -63.8 eV for the cell shown

a b c (Å): 4.141 5.405 7.134
angles (deg): 90.00 90.00 90.00
Fractional positions:
Pt1 0.500 0.500 0.073
Pt2 0.500 0.249 0.736
Pt3 0.500 0.751 0.736
Pt4 0.000 0.749 0.264
Pt5 0.000 0.000 0.927
Pt6 0.000 0.251 0.264
Cu1 0.000 0.000 0.566
Cu2 0.500 0.500 0.434
V1 0.000 0.500 0.849
V2 0.500 0.000 0.151



What is the size of the total moment in the first record? 0.000 μB per atom